{
  "formula": "CoOsCl2",
  "functional": "PBE",
  "state": "relaxed",
  "magmom_total_mub_per_atom": 0.58,
  "dos_at_fermi_per_ev_cell": 4.11,
  "polymorph_energy_mev_per_atom": 645,
  "raw_formation_energy_ev_per_fu": 3.3,
  "cell": [[-2.940, -0.168, 2.432], [-0.151, -3.184, -0.402], [3.500, 2.122, 4.377]],
  "species": ["Cl", "Cl", "Co", "Os"],
  "frac_coords": [[0.000, 0.746, 0.505], [0.000, 0.754, 0.995], [0.500, 0.250, 0.250], [0.500, 0.750, 0.750]]
}